(1)
VASP calculation (PBE) on LiCd5Ag4 after structural relaxation.

Cell and atoms, written as extended XYZ:
```
10
Lattice="3.124 0.000 0.000 0.000 3.124 0.000 0.000 0.000 19.604" Properties=species:S:1:pos:R:3 pbc="T T T"
Cd 1.562 1.562 9.802
Li 0.000 0.000 0.000
Ag 0.000 0.000 11.798
Cd 1.562 1.562 17.781
Ag 0.000 0.000 15.790
Ag 0.000 0.000 3.814
Cd 1.562 1.562 5.808
Cd 1.562 1.562 1.824
Cd 1.562 1.562 13.797
Ag 0.000 0.000 7.806
```

The energy above the most stable polymorph in this dataset is 0.0 kJ per mole of atoms. As for the calculated volume: 191.3 Å³/f.u. The formation enthalpy at 0 K comes out at -0.910 eV/f.u. For the magnetic moment, the calculation gives 0.00 Bohr magnetons per cell. Its density is 8.7 Mg/m³. Its crystal system is tetragonal.



(2)
VASP calculation (PBE) on LiCd2Ag2 after structural relaxation.

Cell and atoms, written as extended XYZ:
```
5
Lattice="-1.667 3.627 -0.909 -3.242 -0.906 2.329 0.624 4.118 6.067" Properties=species:S:1:pos:R:3 pbc="T T T"
Li 0.000 0.000 0.000
Cd -1.749 4.552 2.934
Ag -2.439 4.933 5.720
Cd -2.537 2.286 4.553
Ag -1.847 1.905 1.768
```

The energy above the most stable polymorph in this dataset is 18.5 kJ per mole of atoms. As for the calculated volume: 113.4 Å³/f.u. The formation enthalpy at 0 K comes out at 0.180 eV/f.u. For the magnetic moment, the calculation gives 0.00 Bohr magnetons per cell. Its density is 6.6 Mg/m³. Its crystal system is tetragonal.